Entry 1:
Computed, not measured: a relaxed structure of AgPt4Se8 at the PBE-GGA level of DFT.

Cell lengths 7.612, 7.612, 7.612 Å; angles 60.00, 60.00, 60.00 degrees
Fractional coordinates of all 13 atoms:
Ag 0.000 0.000 0.000
Pt 0.132 0.623 0.623
Pt 0.623 0.132 0.623
Pt 0.623 0.623 0.132
Pt 0.623 0.623 0.623
Se 0.388 0.388 0.388
Se 0.388 0.388 0.836
Se 0.388 0.836 0.388
Se 0.422 0.859 0.859
Se 0.836 0.388 0.388
Se 0.859 0.422 0.859
Se 0.859 0.859 0.422
Se 0.859 0.859 0.859

## Properties
Crystal system: cubic
Electronic total energy (Ha/atom): -0.1677
SG: F-43m
Calculated volume (Å³ per atom): 23.99
E_form (uncorrected) (eV/atom): -0.3408

Entry 2:
Computed, not measured: a relaxed structure of AgPtSe2 at the PBE-GGA level of DFT.

Cell lengths 2.994, 3.395, 7.385 Å; angles 90.00, 90.00, 90.00 degrees
Fractional coordinates of all 4 atoms:
Ag 0.000 0.000 0.000
Pt 0.000 0.000 0.500
Se 0.500 0.500 0.274
Se 0.500 0.500 0.726

## Properties
Crystal system: orthorhombic
Electronic total energy (Ha/atom): -0.1361
SG: Pmmm
Calculated volume (Å³ per atom): 18.77
E_form (uncorrected) (eV/atom): 0.2627

Entry 3:
Computed, not measured: a relaxed structure of AgPtSe2 at the PBE-GGA level of DFT.

Cell lengths 4.722, 4.722, 4.722 Å; angles 60.00, 60.00, 60.00 degrees
Fractional coordinates of all 4 atoms:
Ag 0.000 0.000 0.000
Pt 0.750 0.750 0.750
Se 0.250 0.250 0.250
Se 0.500 0.500 0.500

## Properties
Crystal system: cubic
Electronic total energy (Ha/atom): -0.1287
SG: F-43m
Calculated volume (Å³ per atom): 18.62
E_form (uncorrected) (eV/atom): 0.4625

Entry 4:
Computed, not measured: a relaxed structure of AgPtSe2 at the PBE-GGA level of DFT.

Cell lengths 3.805, 3.797, 5.432 Å; angles 90.00, 90.70, 90.00 degrees
Fractional coordinates of all 4 atoms:
Ag 0.000 0.000 0.000
Pt 0.500 0.500 0.500
Se 0.000 0.000 0.500
Se 0.500 0.500 0.000

## Properties
Crystal system: monoclinic
Electronic total energy (Ha/atom): -0.1454
SG: P2/m
Calculated volume (Å³ per atom): 19.62
E_form (uncorrected) (eV/atom): 0.0079

Number 1: Fermi-level density of states 4.89 states/eV per cell. Number 2: Fermi-level density of states 2.41 states/eV per cell. Number 3: Fermi-level density of states 4.22 states/eV per cell. Number 4: Fermi-level density of states 2.50 states/eV per cell.